First-principles (GGA-PBE) data for a relaxed TiVOs crystal, as listed in Alexandria.

Lattice parameters (Å, degrees): 4.322 4.322 5.328 90.00 90.00 120.00
Atoms (fractional coordinates):
Ti: 0.000 0.000 0.000
Ti: 0.333 0.667 0.666
V: 0.000 0.000 0.492
V: 0.667 0.333 0.335
Os: 0.333 0.667 0.176
Os: 0.667 0.333 0.828

Calculated values
Calculated formation energy ... -1.3 eV per formula unit
Raw total energy ... -29.592 eV per formula unit
Excess energy over the best structure of this formula in the dataset ... 0 meV per atom
Total moment ... 0.0 μB per formula unit
Density of states at the Fermi level ... 5.85 states/eV per cell

***

First-principles (GGA-PBE) data for a relaxed P2HRhCl crystal, as listed in Alexandria.

Lattice parameters (Å, degrees): 3.706 3.706 4.784 90.00 90.00 90.00
Atoms (fractional coordinates):
P: 0.000 0.500 0.000
P: 0.500 0.000 0.000
H: 0.000 0.000 0.000
Rh: 0.500 0.500 0.500
Cl: 0.000 0.000 0.500

Calculated values
Raw total energy ... -19.897 eV per formula unit
Excess energy over the best structure of this formula in the dataset ... 0 meV per atom
Total moment ... 0.0 μB per formula unit
Density of states at the Fermi level ... 1.81 states/eV per cell

***

First-principles (GGA-PBE) data for a relaxed SbPb3F crystal, as listed in Alexandria.

Lattice parameters (Å, degrees): 5.208 5.208 5.208 90.00 90.00 90.00
Atoms (fractional coordinates):
Sb: 0.000 0.000 0.000
Pb: 0.000 0.500 0.500
Pb: 0.500 0.000 0.500
Pb: 0.500 0.500 0.000
F: 0.500 0.500 0.500

Calculated values
Raw formation energy ... -0.438 eV/atom
Raw total energy ... -19.308 eV per formula unit
Excess energy over the best structure of this formula in the dataset ... 0 meV per atom
Total moment ... 0.0 μB per formula unit
Density of states at the Fermi level ... 2.63 states/eV per cell

***

First-principles (GGA-PBE) data for a relaxed Li2InSnSe4 crystal, as listed in Alexandria.

Lattice parameters (Å, degrees): 8.899 7.340 6.855 90.00 90.00 90.00
Atoms (fractional coordinates):
Li: 0.250 0.175 0.000
Li: 0.250 0.825 0.500
Li: 0.750 0.175 0.000
Li: 0.750 0.825 0.500
In: 0.000 0.336 0.506
In: 0.500 0.664 0.006
Sn: 0.000 0.678 0.996
Sn: 0.500 0.322 0.496
Se: 0.000 0.324 0.892
Se: 0.000 0.677 0.392
Se: 0.237 0.161 0.377
Se: 0.263 0.839 0.877
Se: 0.500 0.323 0.892
Se: 0.500 0.676 0.392
Se: 0.737 0.839 0.877
Se: 0.763 0.161 0.377

Calculated values
Raw formation energy ... -0.752 eV/atom
Raw total energy ... -30.521 eV per formula unit
Total moment ... 0.0 μB per formula unit
Density of states at the Fermi level ... 5.70 states/eV per cell

***

First-principles (GGA-PBE) data for a relaxed K2TlHg4Au2 crystal, as listed in Alexandria.

Lattice parameters (Å, degrees): 5.472 7.274 7.568 70.77 80.86 86.31
Atoms (fractional coordinates):
K: 0.243 0.169 0.282
K: 0.757 0.831 0.718
Tl: 0.500 0.500 0.500
Hg: 0.231 0.112 0.777
Hg: 0.280 0.718 0.106
Hg: 0.720 0.282 0.894
Hg: 0.769 0.888 0.223
Au: 0.204 0.503 0.854
Au: 0.796 0.497 0.146

Calculated values
Calculated formation energy ... -1.4 eV per formula unit
Raw total energy ... -13.702 eV per formula unit
Total moment ... 0.0 μB per formula unit
Density of states at the Fermi level ... 2.31 states/eV per cell

***

First-principles (GGA-PBE) data for a relaxed Sm2Sn3Pd4 crystal, as listed in Alexandria.

Lattice parameters (Å, degrees): 8.791 8.791 7.528 90.00 90.00 138.75
Atoms (fractional coordinates):
Sm: 0.104 0.896 0.910
Sm: 0.396 0.604 0.410
Sm: 0.604 0.396 0.590
Sm: 0.896 0.104 0.090
Sn: 0.000 0.000 0.500
Sn: 0.012 0.488 0.750
Sn: 0.488 0.012 0.250
Sn: 0.500 0.500 0.000
Sn: 0.512 0.988 0.750
Sn: 0.988 0.512 0.250
Pd: 0.168 0.832 0.517
Pd: 0.182 0.318 0.750
Pd: 0.318 0.182 0.250
Pd: 0.332 0.668 0.017
Pd: 0.668 0.332 0.983
Pd: 0.682 0.818 0.750
Pd: 0.818 0.682 0.250
Pd: 0.832 0.168 0.483

Calculated values
Calculated formation energy ... -6.9 eV per formula unit
Raw total energy ... -49.158 eV per formula unit
Total moment ... 0.0 μB per formula unit
Density of states at the Fermi level ... 9.12 states/eV per cell